BeTc2Pb: optimized geometry, GGA-PBE.

a = 3.0680 Å, b = 3.0680 Å, c = 6.7242 Å
α = 90.00°, β = 90.00°, γ = 90.00°
With the nearest neighbours (Å) after each atom.
Sites, in units of the cell vectors:
Be (0.0000, 0.0000, 0.0000)  8 Tc 2.47
Tc (0.5000, 0.5000, 0.1755)  1 Tc 2.36, 4 Be 2.47
Tc (0.5000, 0.5000, 0.8245)  1 Tc 2.36, 4 Be 2.47
Pb (0.0000, 0.0000, 0.5000)  4 Pb 3.07, 8 Tc 3.08, 2 Be 3.36

Its space-group type is P4/mmm, No. 123. The calculation puts the energy above the most stable polymorph in this dataset at 184 meV per atom. Its total DFT energy (no corrections) is -26.61 eV per cell. Its formation enthalpy at 0 K is 1.552 eV per formula unit.